# 1
A plane-wave DFT calculation with PBE-GGA was carried out for a relaxed Sm2Zn5Ga3 crystal.

Results
The space group is No. 72. The calculation puts the magnetic moment at 0.000 μB per formula unit. The calculation puts the excess energy over the best structure of this formula in the dataset at 0.00 eV/f.u. Its crystal system is orthorhombic. For the energy relative to the elements, the calculation gives -4.44 eV/f.u.

Cell: 8.510 8.510 8.510 Å, 102.69 91.48 138.99°
Sites, in units of the cell vectors:
1 Sm 0.124 0.247 0.371
2 Sm 0.376 0.747 0.123
3 Sm 0.624 0.253 0.877
4 Sm 0.876 0.753 0.629
5 Zn 0.004 0.750 0.254
6 Zn 0.128 0.868 0.996
7 Zn 0.250 0.750 0.500
8 Zn 0.372 0.368 0.741
9 Zn 0.496 0.750 0.746
10 Zn 0.504 0.250 0.254
11 Zn 0.628 0.632 0.259
12 Zn 0.750 0.250 0.500
13 Zn 0.872 0.132 0.004
14 Zn 0.996 0.250 0.746
15 Ga 0.125 0.640 0.765
16 Ga 0.250 0.250 0.000
17 Ga 0.375 0.140 0.515
18 Ga 0.625 0.860 0.485
19 Ga 0.750 0.750 0.000
20 Ga 0.875 0.360 0.235

# 2
A plane-wave DFT calculation with PBE-GGA was carried out for a relaxed Sm2Zn9Ga3 crystal.

Results
The space group is No. 63. The calculation puts the magnetic moment at 0.000 μB per formula unit. Its crystal system is orthorhombic. For the energy relative to the elements, the calculation gives -3.70 eV/f.u.

Cell: 7.842 7.842 9.165 Å, 90.00 90.00 60.60°
Sites, in units of the cell vectors:
1 Sm 0.005 0.319 0.250
2 Sm 0.319 0.005 0.750
3 Sm 0.681 0.995 0.250
4 Sm 0.995 0.681 0.750
5 Zn 0.029 0.655 0.092
6 Zn 0.029 0.655 0.408
7 Zn 0.149 0.851 0.250
8 Zn 0.337 0.663 0.561
9 Zn 0.337 0.663 0.939
10 Zn 0.345 0.971 0.092
11 Zn 0.345 0.971 0.408
12 Zn 0.357 0.452 0.250
13 Zn 0.452 0.357 0.750
14 Zn 0.548 0.643 0.250
15 Zn 0.643 0.548 0.750
16 Zn 0.655 0.029 0.592
17 Zn 0.655 0.029 0.908
18 Zn 0.663 0.337 0.061
19 Zn 0.663 0.337 0.439
20 Zn 0.851 0.149 0.750
21 Zn 0.971 0.345 0.592
22 Zn 0.971 0.345 0.908
23 Ga 0.000 0.000 0.000
24 Ga 0.000 0.000 0.500
25 Ga 0.311 0.311 0.000
26 Ga 0.311 0.311 0.500
27 Ga 0.689 0.689 0.000
28 Ga 0.689 0.689 0.500

# 3
A plane-wave DFT calculation with PBE-GGA was carried out for a relaxed SmZnGa crystal.

Results
The space group is No. 187. The calculation puts the magnetic moment at 0.000 μB per formula unit. Its crystal system is hexagonal. For the energy relative to the elements, the calculation gives -1.64 eV/f.u.

Cell: 4.477 4.477 3.692 Å, 90.00 90.00 120.00°
Sites, in units of the cell vectors:
1 Sm 0.000 0.000 0.000
2 Zn 0.667 0.333 0.500
3 Ga 0.333 0.667 0.500

# 4
A plane-wave DFT calculation with PBE-GGA was carried out for a relaxed Sm6Zn5Ga crystal.

Results
The space group is No. 65. The calculation puts the magnetic moment at 0.001 μB per formula unit. Its crystal system is orthorhombic. For the energy relative to the elements, the calculation gives -4.32 eV/f.u.

Cell: 8.145 8.145 7.303 Å, 90.00 90.00 143.20°
Sites, in units of the cell vectors:
1 Sm 0.000 0.000 0.248
2 Sm 0.000 0.000 0.752
3 Sm 0.334 0.666 0.249
4 Sm 0.334 0.666 0.751
5 Sm 0.666 0.334 0.249
6 Sm 0.666 0.334 0.751
7 Zn 0.167 0.833 0.500
8 Zn 0.169 0.831 0.000
9 Zn 0.500 0.500 0.500
10 Zn 0.831 0.169 0.000
11 Zn 0.833 0.167 0.500
12 Ga 0.500 0.500 0.000

# 5
A plane-wave DFT calculation with PBE-GGA was carried out for a relaxed Sm6ZnGa2 crystal.

Results
The space group is No. 71. The calculation puts the magnetic moment at 0.001 μB per formula unit. The calculation puts the excess energy over the best structure of this formula in the dataset at 1.51 eV/f.u. Its crystal system is orthorhombic. For the energy relative to the elements, the calculation gives -1.32 eV/f.u.

Cell: 8.735 8.735 8.735 Å, 146.45 131.72 60.07°
Sites, in units of the cell vectors:
1 Sm 0.083 0.334 0.749
2 Sm 0.249 0.000 0.249
3 Sm 0.416 0.666 0.749
4 Sm 0.584 0.334 0.251
5 Sm 0.751 0.000 0.751
6 Sm 0.917 0.666 0.251
7 Zn 0.000 0.500 0.500
8 Ga 0.333 0.833 0.500
9 Ga 0.667 0.167 0.500

# 6
A plane-wave DFT calculation with PBE-GGA was carried out for a relaxed Sm2Zn2Ga3 crystal.

Results
The space group is No. 63. The calculation puts the magnetic moment at 0.000 μB per formula unit. Its crystal system is orthorhombic. For the energy relative to the elements, the calculation gives -3.91 eV/f.u.

Cell: 9.665 9.665 6.986 Å, 90.00 90.00 153.82°
Sites, in units of the cell vectors:
1 Sm 0.050 0.950 0.750
2 Sm 0.159 0.841 0.250
3 Sm 0.841 0.159 0.750
4 Sm 0.950 0.050 0.250
5 Zn 0.316 0.684 0.064
6 Zn 0.316 0.684 0.436
7 Zn 0.684 0.316 0.564
8 Zn 0.684 0.316 0.936
9 Ga 0.223 0.777 0.750
10 Ga 0.440 0.560 0.572
11 Ga 0.440 0.560 0.928
12 Ga 0.560 0.440 0.072
13 Ga 0.560 0.440 0.428
14 Ga 0.777 0.223 0.250

# 7
A plane-wave DFT calculation with PBE-GGA was carried out for a relaxed Sm3Zn2Ga3 crystal.

Results
The space group is No. 63. The calculation puts the magnetic moment at 0.147 μB per formula unit. Its crystal system is orthorhombic. For the energy relative to the elements, the calculation gives -4.44 eV/f.u.

Cell: 5.790 5.790 14.797 Å, 90.00 90.00 134.51°
Sites, in units of the cell vectors:
1 Sm 0.095 0.905 0.610
2 Sm 0.095 0.905 0.890
3 Sm 0.370 0.630 0.750
4 Sm 0.630 0.370 0.250
5 Sm 0.905 0.095 0.110
6 Sm 0.905 0.095 0.390
7 Zn 0.203 0.797 0.097
8 Zn 0.203 0.797 0.403
9 Zn 0.797 0.203 0.597
10 Zn 0.797 0.203 0.903
11 Ga 0.335 0.665 0.250
12 Ga 0.389 0.611 0.539
13 Ga 0.389 0.611 0.961
14 Ga 0.611 0.389 0.039
15 Ga 0.611 0.389 0.461
16 Ga 0.665 0.335 0.750

# 8
A plane-wave DFT calculation with PBE-GGA was carried out for a relaxed Sm5Zn2Ga5 crystal.

Results
The space group is No. 12. The calculation puts the magnetic moment at 0.000 μB per formula unit. Its crystal system is monoclinic. For the energy relative to the elements, the calculation gives -6.20 eV/f.u.

Cell: 8.224 8.224 9.690 Å, 125.59 125.59 32.06°
Sites, in units of the cell vectors:
1 Sm 0.000 0.000 0.000
2 Sm 0.140 0.140 0.450
3 Sm 0.148 0.148 0.833
4 Sm 0.852 0.852 0.167
5 Sm 0.860 0.860 0.550
6 Zn 0.340 0.340 0.826
7 Zn 0.660 0.660 0.174
8 Ga 0.264 0.264 0.266
9 Ga 0.494 0.494 0.201
10 Ga 0.500 0.500 0.500
11 Ga 0.506 0.506 0.799
12 Ga 0.736 0.736 0.734

# 9
A plane-wave DFT calculation with PBE-GGA was carried out for a relaxed Sm12Zn2Ga5 crystal.

Results
The space group is No. 12. The calculation puts the magnetic moment at 0.001 μB per formula unit. Its crystal system is monoclinic. For the energy relative to the elements, the calculation gives -3.96 eV/f.u.

Cell: 8.698 8.698 9.104 Å, 90.92 90.92 51.79°
Sites, in units of the cell vectors:
1 Sm 0.029 0.029 0.199
2 Sm 0.097 0.613 0.056
3 Sm 0.098 0.551 0.628
4 Sm 0.387 0.903 0.944
5 Sm 0.449 0.902 0.372
6 Sm 0.451 0.451 0.323
7 Sm 0.549 0.549 0.677
8 Sm 0.551 0.098 0.628
9 Sm 0.613 0.097 0.056
10 Sm 0.902 0.449 0.372
11 Sm 0.903 0.387 0.944
12 Sm 0.971 0.971 0.801
13 Zn 0.174 0.826 0.500
14 Zn 0.826 0.174 0.500
15 Ga 0.147 0.147 0.639
16 Ga 0.235 0.235 0.175
17 Ga 0.500 0.500 0.000
18 Ga 0.765 0.765 0.825
19 Ga 0.853 0.853 0.361

# 10
A plane-wave DFT calculation with PBE-GGA was carried out for a relaxed SmZn2Ga2 crystal.

Results
The space group is No. 129. The calculation puts the magnetic moment at 0.000 μB per formula unit. Its crystal system is tetragonal. For the energy relative to the elements, the calculation gives -2.33 eV/f.u.

Cell: 4.215 4.215 10.637 Å, 90.00 90.00 90.00°
Sites, in units of the cell vectors:
1 Sm 0.250 0.250 0.249
2 Sm 0.750 0.750 0.751
3 Zn 0.250 0.250 0.637
4 Zn 0.250 0.750 0.000
5 Zn 0.750 0.250 0.000
6 Zn 0.750 0.750 0.363
7 Ga 0.250 0.250 0.864
8 Ga 0.250 0.750 0.500
9 Ga 0.750 0.250 0.500
10 Ga 0.750 0.750 0.136

# 11
A plane-wave DFT calculation with PBE-GGA was carried out for a relaxed Sm2Zn15Ga2 crystal.

Results
The space group is No. 166. The calculation puts the magnetic moment at 0.000 μB per formula unit. Its crystal system is trigonal. For the energy relative to the elements, the calculation gives -4.64 eV/f.u.

Cell: 6.835 6.835 6.835 Å, 83.76 83.76 83.76°
Sites, in units of the cell vectors:
1 Sm 0.166 0.166 0.166
2 Sm 0.834 0.834 0.834
3 Zn 0.000 0.500 0.500
4 Zn 0.150 0.150 0.667
5 Zn 0.150 0.667 0.150
6 Zn 0.194 0.500 0.806
7 Zn 0.194 0.806 0.500
8 Zn 0.333 0.850 0.850
9 Zn 0.500 0.000 0.500
10 Zn 0.500 0.194 0.806
11 Zn 0.500 0.500 0.000
12 Zn 0.500 0.806 0.194
13 Zn 0.667 0.150 0.150
14 Zn 0.806 0.194 0.500
15 Zn 0.806 0.500 0.194
16 Zn 0.850 0.333 0.850
17 Zn 0.850 0.850 0.333
18 Ga 0.401 0.401 0.401
19 Ga 0.599 0.599 0.599

# 12
A plane-wave DFT calculation with PBE-GGA was carried out for a relaxed Sm2Zn2Ga crystal.

Results
The space group is No. 12. The calculation puts the magnetic moment at 0.000 μB per formula unit. Its crystal system is monoclinic. For the energy relative to the elements, the calculation gives -2.17 eV/f.u.

Cell: 5.771 5.771 10.797 Å, 115.52 115.52 45.75°
Sites, in units of the cell vectors:
1 Sm 0.024 0.024 0.338
2 Sm 0.195 0.195 0.105
3 Sm 0.805 0.805 0.895
4 Sm 0.976 0.976 0.662
5 Zn 0.360 0.360 0.442
6 Zn 0.487 0.487 0.115
7 Zn 0.513 0.513 0.885
8 Zn 0.640 0.640 0.558
9 Ga 0.272 0.272 0.659
10 Ga 0.728 0.728 0.341

# 13
A plane-wave DFT calculation with PBE-GGA was carried out for a relaxed SmZn4Ga3 crystal.

Results
The space group is No. 123. The calculation puts the magnetic moment at 0.000 μB per formula unit. Its crystal system is tetragonal. For the energy relative to the elements, the calculation gives -2.18 eV/f.u.

Cell: 4.271 4.271 8.112 Å, 90.00 90.00 90.00°
Sites, in units of the cell vectors:
1 Sm 0.000 0.000 0.000
2 Zn 0.000 0.500 0.320
3 Zn 0.000 0.500 0.680
4 Zn 0.500 0.000 0.320
5 Zn 0.500 0.000 0.680
6 Ga 0.000 0.000 0.500
7 Ga 0.500 0.500 0.149
8 Ga 0.500 0.500 0.851

# 14
A plane-wave DFT calculation with PBE-GGA was carried out for a relaxed Sm3Zn2Ga9 crystal.

Results
The space group is No. 71. The calculation puts the magnetic moment at 0.000 μB per formula unit. Its crystal system is orthorhombic. For the energy relative to the elements, the calculation gives -6.81 eV/f.u.

Cell: 8.368 8.368 8.368 Å, 150.50 105.99 81.61°
Sites, in units of the cell vectors:
1 Sm 0.000 0.000 0.000
2 Sm 0.321 0.321 0.000
3 Sm 0.679 0.679 0.000
4 Zn 0.283 0.500 0.783
5 Zn 0.717 0.500 0.217
6 Ga 0.037 0.663 0.373
7 Ga 0.134 0.860 0.275
8 Ga 0.290 0.663 0.627
9 Ga 0.415 0.140 0.275
10 Ga 0.500 0.000 0.500
11 Ga 0.585 0.860 0.725
12 Ga 0.710 0.337 0.373
13 Ga 0.866 0.140 0.725
14 Ga 0.963 0.337 0.627

# 15
A plane-wave DFT calculation with PBE-GGA was carried out for a relaxed SmZr2Ga6 crystal.

Results
The space group is No. 71. The calculation puts the magnetic moment at 0.000 μB per formula unit. The calculation puts the excess energy over the best structure of this formula in the dataset at 0.81 eV/f.u. Its crystal system is orthorhombic. For the energy relative to the elements, the calculation gives -3.92 eV/f.u.

Cell: 7.591 7.591 7.591 Å, 147.99 126.32 63.88°
Sites, in units of the cell vectors:
1 Sm 0.000 0.000 0.000
2 Zr 0.379 0.879 0.500
3 Zr 0.621 0.121 0.500
4 Ga 0.015 0.310 0.705
5 Ga 0.316 0.500 0.816
6 Ga 0.395 0.690 0.705
7 Ga 0.605 0.310 0.295
8 Ga 0.684 0.500 0.184
9 Ga 0.985 0.690 0.295

# 16
A plane-wave DFT calculation with PBE-GGA was carried out for a relaxed SmZr2Ga crystal.

Results
The space group is No. 123. The calculation puts the magnetic moment at 0.000 μB per formula unit. The calculation puts the excess energy over the best structure of this formula in the dataset at 0.23 eV/f.u. Its crystal system is tetragonal. For the energy relative to the elements, the calculation gives -0.55 eV/f.u.

Cell: 3.419 3.419 7.958 Å, 90.00 90.00 90.00°
Sites, in units of the cell vectors:
1 Sm 0.000 0.000 0.000
2 Zr 0.500 0.500 0.294
3 Zr 0.500 0.500 0.706
4 Ga 0.000 0.000 0.500

# 17
A plane-wave DFT calculation with PBE-GGA was carried out for a relaxed SmZrGa4 crystal.

Results
The space group is No. 216. The calculation puts the magnetic moment at 0.000 μB per formula unit. The calculation puts the excess energy over the best structure of this formula in the dataset at 0.32 eV/f.u. Its crystal system is cubic. For the energy relative to the elements, the calculation gives -2.94 eV/f.u.

Cell: 5.438 5.438 5.438 Å, 60.00 60.00 60.00°
Sites, in units of the cell vectors:
1 Sm 0.000 0.000 0.000
2 Zr 0.750 0.750 0.750
3 Ga 0.375 0.375 0.375
4 Ga 0.375 0.375 0.874
5 Ga 0.375 0.874 0.375
6 Ga 0.874 0.375 0.375

# 18
A plane-wave DFT calculation with PBE-GGA was carried out for a relaxed SmZrGa4 crystal.

Results
The space group is No. 119. The calculation puts the magnetic moment at 0.000 μB per formula unit. The calculation puts the excess energy over the best structure of this formula in the dataset at 0.00 eV/f.u. Its crystal system is tetragonal. For the energy relative to the elements, the calculation gives -3.26 eV/f.u.

Cell: 4.075 4.075 14.548 Å, 90.00 90.00 90.00°
Sites, in units of the cell vectors:
1 Sm 0.000 0.000 0.000
2 Sm 0.500 0.500 0.500
3 Zr 0.000 0.500 0.750
4 Zr 0.500 0.000 0.250
5 Ga 0.000 0.000 0.415
6 Ga 0.000 0.000 0.585
7 Ga 0.000 0.500 0.170
8 Ga 0.000 0.500 0.330
9 Ga 0.500 0.000 0.670
10 Ga 0.500 0.000 0.830
11 Ga 0.500 0.500 0.085
12 Ga 0.500 0.500 0.915

# 19
A plane-wave DFT calculation with PBE-GGA was carried out for a relaxed SmZr2Ga crystal.

Results
The space group is No. 166. The calculation puts the magnetic moment at 0.001 μB per formula unit. The calculation puts the excess energy over the best structure of this formula in the dataset at 1.30 eV/f.u. Its crystal system is trigonal. For the energy relative to the elements, the calculation gives 0.51 eV/f.u.

Cell: 3.172 3.172 33.094 Å, 90.00 90.00 120.00°
Sites, in units of the cell vectors:
1 Sm 0.000 0.000 0.000
2 Sm 0.333 0.667 0.667
3 Sm 0.667 0.333 0.333
4 Zr 0.000 0.000 0.097
5 Zr 0.000 0.000 0.903
6 Zr 0.333 0.667 0.570
7 Zr 0.333 0.667 0.763
8 Zr 0.667 0.333 0.237
9 Zr 0.667 0.333 0.430
10 Ga 0.000 0.000 0.500
11 Ga 0.333 0.667 0.167
12 Ga 0.667 0.333 0.833

# 20
A plane-wave DFT calculation with PBE-GGA was carried out for a relaxed Sm2ZrGa3 crystal.

Results
The space group is No. 71. The calculation puts the magnetic moment at 0.000 μB per formula unit. Its crystal system is orthorhombic. For the energy relative to the elements, the calculation gives -1.93 eV/f.u.

Cell: 3.546 5.860 14.265 Å, 90.00 90.00 90.00°
Sites, in units of the cell vectors:
1 Sm 0.000 0.000 0.172
2 Sm 0.000 0.000 0.828
3 Sm 0.500 0.500 0.328
4 Sm 0.500 0.500 0.672
5 Zr 0.000 0.000 0.500
6 Zr 0.500 0.500 0.000
7 Ga 0.000 0.500 0.153
8 Ga 0.000 0.500 0.500
9 Ga 0.000 0.500 0.847
10 Ga 0.500 0.000 0.000
11 Ga 0.500 0.000 0.347
12 Ga 0.500 0.000 0.653